# 1
DFT (GGA-PBE) results for SmYTm4 after structural relaxation.

Geometry as extended XYZ:
```
6
Lattice="5.589 -2.482 0.000 5.589 2.482 0.000 -2.233 0.000 6.695" Properties=species:S:1:pos:R:3 pbc="T T T"
Sm 0.000 0.000 0.000
Y -1.116 0.000 3.347
Tm 2.227 0.000 4.459
Tm 3.346 0.000 1.113
Tm 5.600 0.000 5.581
Tm 6.718 0.000 2.236
```

Computed properties:
**Total moment**: 0.00 μB per cell
**Final energy**: -4.8178 eV per atom
**Space-group type**: C2/m, No. 12


# 2
DFT (GGA-PBE) results for Sr2GaTcO after structural relaxation.

Geometry as extended XYZ:
```
5
Lattice="5.873 0.000 0.000 0.000 5.873 0.000 0.000 0.000 4.677" Properties=species:S:1:pos:R:3 pbc="T T T"
Sr 0.000 2.937 0.000
Sr 2.937 0.000 0.000
Ga 0.000 0.000 0.000
Tc 0.000 0.000 2.338
O 2.937 2.937 2.338
```

Computed properties:
**Total moment**: 2.79 μB per cell
**Space-group type**: P4/mmm, No. 123
**E_form (uncorrected)**: 0.46 eV/atom


# 3
DFT (GGA-PBE) results for Ba8ZnNiAu2 after structural relaxation.

Geometry as extended XYZ:
```
12
Lattice="7.647 0.000 0.000 0.000 9.762 0.000 -0.096 0.000 7.883" Properties=species:S:1:pos:R:3 pbc="T T T"
Ba 1.671 2.251 1.370
Ba 1.671 7.511 1.370
Ba 1.960 0.000 5.408
Ba 2.060 4.881 5.306
Ba 5.491 4.881 2.577
Ba 5.590 0.000 2.476
Ba 5.879 2.251 6.513
Ba 5.879 7.511 6.513
Zn 0.000 4.881 0.000
Ni 0.000 0.000 0.000
Au 3.775 2.409 3.942
Au 3.775 7.353 3.942
```

Computed properties:
**Total moment**: 0.00 μB per cell
**Final energy**: -2.6748 eV per atom
**Space-group type**: P2/m, No. 10